1.
A plane-wave DFT calculation with GGA-PBE was carried out for crystalline KSmAs at its relaxed geometry.

a = 5.107 Å, b = 5.107 Å, c = 5.107 Å
α = 60.00°, β = 60.00°, γ = 60.00°
Fractional coordinates of all 3 atoms:
K (0.250, 0.250, 0.250)
As (0.000, 0.000, 0.000)
Sm (0.750, 0.750, 0.750)

Calculated values
The total magnetization is 0.000 μB/atom. Its energy is -3.93 eV per atom.

***

2.
A plane-wave DFT calculation with GGA-PBE was carried out for crystalline YScAs2Pt2 at its relaxed geometry.

a = 8.910 Å, b = 4.441 Å, c = 13.332 Å
α = 90.00°, β = 109.32°, γ = 90.00°
Fractional coordinates of all 24 atoms:
Sc (0.559, 0.500, 0.622)
Sc (0.190, 0.000, 0.377)
Sc (0.687, 0.000, 0.378)
Sc (0.440, 0.000, 0.872)
As (0.805, 0.000, 0.621)
As (0.563, 0.000, 0.126)
As (0.064, 0.000, 0.130)
As (0.938, 0.500, 0.378)
As (0.682, 0.500, 0.870)
As (0.439, 0.500, 0.377)
As (0.313, 0.000, 0.621)
As (0.190, 0.500, 0.874)
Pt (0.739, 0.500, 0.497)
Pt (0.256, 0.500, 0.496)
Pt (0.496, 0.500, 0.990)
Pt (0.381, 0.000, 0.261)
Pt (0.000, 0.500, 0.001)
Pt (0.141, 0.000, 0.754)
Pt (0.882, 0.000, 0.263)
Pt (0.613, 0.000, 0.742)
Y (0.316, 0.500, 0.127)
Y (0.061, 0.500, 0.623)
Y (0.811, 0.500, 0.128)
Y (0.934, 0.000, 0.871)

Calculated values
The total magnetization is 0.000 μB/atom. Its energy is -6.83 eV per atom.

***

3.
A plane-wave DFT calculation with GGA-PBE was carried out for crystalline GdAg2 at its relaxed geometry.

a = 3.737 Å, b = 3.737 Å, c = 5.364 Å
α = 110.39°, β = 110.39°, γ = 90.00°
Fractional coordinates of all 3 atoms:
Ag (0.327, 0.327, 0.654)
Ag (0.673, 0.673, 0.346)
Gd (0.000, 0.000, 0.000)

Calculated values
The total magnetization is 0.000 μB/atom. Its energy is -3.75 eV per atom.

***

4.
A plane-wave DFT calculation with GGA-PBE was carried out for crystalline PaTaSi at its relaxed geometry.

a = 4.535 Å, b = 4.535 Å, c = 4.535 Å
α = 60.00°, β = 60.00°, γ = 60.00°
Fractional coordinates of all 3 atoms:
Si (0.000, 0.000, 0.000)
Ta (0.750, 0.750, 0.750)
Pa (0.250, 0.250, 0.250)

Calculated values
For the energy relative to the lowest polymorph listed for this composition, the calculation gives 0.0000 eV/atom. The total magnetization is 0.004 μB/atom.

***

5.
A plane-wave DFT calculation with GGA-PBE was carried out for crystalline TmNbN2O at its relaxed geometry.

a = 5.575 Å, b = 5.575 Å, c = 5.575 Å
α = 91.10°, β = 119.77°, γ = 118.96°
Fractional coordinates of all 10 atoms:
N (0.224, 0.545, 0.820)
N (0.724, 0.404, 0.180)
N (0.724, 0.045, 0.820)
N (0.224, 0.904, 0.180)
O (0.861, 0.979, 0.382)
O (0.598, 0.479, 0.618)
Nb (0.696, 0.196, 0.500)
Nb (0.696, 0.696, 0.000)
Tm (0.239, 0.957, 0.782)
Tm (0.175, 0.457, 0.218)

Calculated values
The total magnetization is 0.000 μB/atom. Its energy is -8.97 eV per atom.

***

6.
A plane-wave DFT calculation with GGA-PBE was carried out for crystalline RbHfRe at its relaxed geometry.

a = 4.772 Å, b = 4.772 Å, c = 4.772 Å
α = 60.00°, β = 60.00°, γ = 60.00°
Fractional coordinates of all 3 atoms:
Rb (0.750, 0.750, 0.750)
Hf (0.250, 0.250, 0.250)
Re (0.000, 0.000, 0.000)

Calculated values
For the energy relative to the lowest polymorph listed for this composition, the calculation gives 0.0000 eV/atom. The total magnetization is 0.000 μB/atom.

***

7.
A plane-wave DFT calculation with GGA-PBE was carried out for crystalline NaSmSO at its relaxed geometry.

a = 6.778 Å, b = 7.447 Å, c = 6.430 Å
α = 90.00°, β = 103.40°, γ = 90.00°
Fractional coordinates of all 16 atoms:
Sm (0.550, 0.623, 0.238)
Sm (0.450, 0.377, 0.762)
Sm (0.450, 0.123, 0.262)
Sm (0.550, 0.877, 0.738)
Na (0.911, 0.256, 0.006)
Na (0.089, 0.756, 0.494)
Na (0.089, 0.744, 0.994)
Na (0.911, 0.244, 0.506)
O (0.613, 0.157, 0.613)
O (0.387, 0.657, 0.887)
O (0.613, 0.343, 0.113)
O (0.387, 0.843, 0.387)
S (0.209, 0.419, 0.330)
S (0.791, 0.919, 0.170)
S (0.209, 0.081, 0.830)
S (0.791, 0.581, 0.670)

Calculated values
For the energy relative to the lowest polymorph listed for this composition, the calculation gives 0.0081 eV/atom. The total magnetization is 0.000 μB/atom.

***

8.
A plane-wave DFT calculation with GGA-PBE was carried out for crystalline Mg2Ag at its relaxed geometry.

a = 5.563 Å, b = 5.563 Å, c = 5.563 Å
α = 60.00°, β = 60.00°, γ = 60.00°
Fractional coordinates of all 6 atoms:
Mg (0.625, 0.625, 0.625)
Mg (0.625, 0.625, 0.125)
Mg (0.125, 0.625, 0.625)
Mg (0.625, 0.125, 0.625)
Ag (0.000, 0.000, 0.000)
Ag (0.250, 0.250, 0.250)

Calculated values
Its energy is -1.86 eV per atom.